# FeP2Ru

A PBEsol-optimized structure of FeP2Ru (SCAN, Alexandria via LeMat-Bulk).

Calculated values
Energy of formation: 379 meV per atom
ρ: 7.24 Mg/m³
V: 50 Å³/f.u.
Spin magnetization: 3.85 μB/f.u.
Polymorph energy (0 for the lowest one): 703.7 meV/atom
Total energy: -18.059 eV/atom

abc: 4.1400 4.1400 4.1400
angles: 60.00 60.00 60.00
With the nearest neighbours (Å) after each atom.
Atoms (fractional coordinates):
Fe 0.0000 0.0000 0.0000  4 P 2.54, 4 Ru 2.54
P 0.5000 0.5000 0.5000  4 P 2.54, 4 Ru 2.54
P 0.7500 0.7500 0.7500  4 Fe 2.54, 4 P 2.54
Ru 0.2500 0.2500 0.2500  4 Fe 2.54, 4 P 2.54